HfTiSi2 | Alexandria via LeMat-Bulk | PBE | relaxed; uncorrected formation energy = -28 kJ/mol of atoms; total magnetization = 0.00 μB per formula unit; energy above the most stable polymorph in this dataset = 11.056 kcal/mol of atoms; theoretical density = 6.7 g/cm3
1.0
7.018 0.000 0.000
0.000 7.018 0.000
0.000 0.000 5.651
Hf Ti Si
4 4 8
Direct
0.000 0.000 0.000 Hf
0.000 0.500 0.250 Hf
0.500 0.000 0.750 Hf
0.500 0.500 0.500 Hf
0.000 0.000 0.500 Ti
0.000 0.500 0.750 Ti
0.500 0.000 0.250 Ti
0.500 0.500 0.000 Ti
0.237 0.250 0.625 Si
0.250 0.737 0.875 Si
0.250 0.763 0.375 Si
0.263 0.250 0.125 Si
0.737 0.750 0.125 Si
0.750 0.237 0.375 Si
0.750 0.263 0.875 Si
0.763 0.750 0.625 Si